No. 1
A relaxed structure of ZrTeP3. Source: Alexandria, functional GGA-PBEsol.

Unit cell a=4.962 b=4.962 c=4.962 alpha=90.00 beta=90.00 gamma=90.00
Fractional positions:
P (0.000, 0.500, 0.000)
P (0.000, 0.000, 0.500)
P (0.500, 0.000, 0.000)
Te (0.500, 0.500, 0.500)
Zr (0.000, 0.000, 0.000)

Results
**E_form (uncorrected)**: 0.5138 eV/atom
**Raw total energy**: -5.484 eV per atom

---

No. 2
A relaxed structure of Tb3Co2Si3. Source: Alexandria, functional GGA-PBEsol.

Unit cell a=4.054 b=5.563 c=13.451 alpha=90.00 beta=90.00 gamma=111.37
Fractional positions:
Tb (0.364, 0.728, 0.250)
Tb (0.636, 0.272, 0.750)
Tb (0.081, 0.162, 0.388)
Tb (0.919, 0.838, 0.612)
Tb (0.919, 0.838, 0.888)
Tb (0.081, 0.162, 0.112)
Co (0.216, 0.432, 0.922)
Co (0.784, 0.568, 0.078)
Co (0.784, 0.568, 0.422)
Co (0.216, 0.432, 0.578)
Si (0.672, 0.344, 0.250)
Si (0.328, 0.656, 0.750)
Si (0.380, 0.759, 0.460)
Si (0.620, 0.241, 0.540)
Si (0.620, 0.241, 0.960)
Si (0.380, 0.759, 0.040)

Results
**E_form (uncorrected)**: -0.7833 eV/atom
**Raw total energy**: -6.751 eV per atom

---

No. 3
A relaxed structure of Y2SbH2. Source: Alexandria, functional GGA-PBEsol.

Unit cell a=3.821 b=3.821 c=6.349 alpha=107.51 beta=107.51 gamma=90.00
Fractional positions:
Y (0.355, 0.355, 0.710)
Y (0.645, 0.645, 0.290)
Sb (0.000, 0.000, 0.000)
H (0.250, 0.750, 0.500)
H (0.750, 0.250, 0.500)

Results
**Raw total energy**: -5.823 eV per atom

---

No. 4
A relaxed structure of BaCd3. Source: Alexandria, functional GGA-PBEsol.

Unit cell a=5.344 b=5.344 c=5.344 alpha=60.00 beta=60.00 gamma=60.00
Fractional positions:
Ba (0.000, 0.000, 0.000)
Cd (0.250, 0.250, 0.250)
Cd (0.500, 0.500, 0.500)
Cd (0.750, 0.750, 0.750)

Results
**Calculated formation energy**: -0.2026 eV/atom
**Raw total energy**: -1.638 eV per atom

---

No. 5
A relaxed structure of La2ZnSnO6. Source: Alexandria, functional GGA-PBEsol.

Unit cell a=5.613 b=5.613 c=5.613 alpha=61.45 beta=61.45 gamma=61.45
Fractional positions:
La (0.750, 0.750, 0.750)
La (0.250, 0.250, 0.250)
Zn (0.500, 0.500, 0.500)
Sn (0.000, 0.000, 0.000)
O (0.755, 0.338, 0.158)
O (0.158, 0.755, 0.338)
O (0.338, 0.158, 0.755)
O (0.245, 0.662, 0.842)
O (0.662, 0.842, 0.245)
O (0.842, 0.245, 0.662)

Results
**E_form (uncorrected)**: -2.5316 eV/atom
**Raw total energy**: -7.335 eV per atom

---

No. 6
A relaxed structure of Mg2ScTc. Source: Alexandria, functional GGA-PBEsol.

Unit cell a=2.837 b=4.526 c=5.590 alpha=90.00 beta=90.00 gamma=90.00
Fractional positions:
Mg (0.000, 0.000, 0.732)
Mg (0.000, 0.000, 0.268)
Sc (0.500, 0.500, 0.000)
Tc (0.500, 0.500, 0.500)

Results
**Polymorph energy (0 for the lowest one)**: 98 meV per atom
**Calculated formation energy**: 0.1687 eV/atom
**Raw total energy**: -5.158 eV per atom

---

No. 7
A relaxed structure of SiTe2Cl. Source: Alexandria, functional GGA-PBEsol.

Unit cell a=3.805 b=4.837 c=4.837 alpha=90.00 beta=90.00 gamma=90.00
Fractional positions:
Si (0.500, 0.000, 0.000)
Te (0.000, 0.000, 0.500)
Te (0.000, 0.500, 0.000)
Cl (0.500, 0.500, 0.500)

Results
**Polymorph energy (0 for the lowest one)**: 421 meV per atom
**E_form (uncorrected)**: 0.3861 eV/atom
**Raw total energy**: -3.316 eV per atom

---

No. 8
A relaxed structure of NaNbI2N. Source: Alexandria, functional GGA-PBEsol.

Unit cell a=3.952 b=5.740 c=5.740 alpha=90.00 beta=90.00 gamma=90.00
Site moments in Bohr magnetons follow the coordinates.
Fractional positions:
I (0.000, 0.000, 0.500)  0.01
I (0.000, 0.500, 0.000)  0.01
Na (0.500, 0.500, 0.500)  0.00
Nb (0.000, 0.000, 0.000)  0.64
N (0.500, 0.000, 0.000)  -0.07

Results
**E_form (uncorrected)**: -0.3753 eV/atom
**Raw total energy**: -5.232 eV per atom